# GaMoBr, optimized geometry, DFT PBE-GGA
data_GaMoBr
_chemical_formula_sum 'Ga2 Mo2 Br2'
_symmetry_space_group_name_H-M 'P 1'
_symmetry_Int_Tables_number 1
_symmetry_space_group_name_Hall 'P 1'
_cell_length_a 3.362
_cell_length_b 4.847
_cell_length_c 9.743
_cell_angle_alpha 76.81
_cell_angle_beta 87.93
_cell_angle_gamma 69.71
loop_
_atom_site_label
_atom_site_fract_x
_atom_site_fract_y
_atom_site_fract_z
Ga1 0.070 0.330 0.142
Ga2 0.930 0.670 0.858
Mo1 0.345 0.798 0.063
Mo2 0.655 0.202 0.937
Br1 0.292 0.846 0.328
Br2 0.708 0.154 0.672
# uncorrected energy: -31.8 eV for the cell shown